*one*
DFT (PBEsol) results for crystalline AlRuW at its relaxed geometry.

Total magnetic moment in μB per cell: 0.0
Space group: Fmm2

Cell lengths 2.9963, 4.5582, 12.7828 Å; angles 90.00, 90.00, 90.00 degrees
Closest atoms and distances in Å follow each position.
Sites, in units of the cell vectors:
Al1 0.0000 0.0000 0.0000  2 Ru 2.52, 2 W 2.69, 4 Al 2.73
Al2 0.0000 0.5000 0.5000  2 Ru 2.52, 2 W 2.69, 4 Al 2.73
Al3 0.5000 0.0000 0.5000  2 Ru 2.52, 2 W 2.69, 4 Al 2.73
Al4 0.5000 0.5000 0.0000  2 Ru 2.52, 2 W 2.69, 4 Al 2.73
Ru1 0.0000 0.0000 0.3414  2 Al 2.52, 2 W 2.60, 4 Ru 2.73
Ru2 0.0000 0.5000 0.8414  2 Al 2.52, 2 W 2.60, 4 Ru 2.73
Ru3 0.5000 0.0000 0.8414  2 Al 2.52, 2 W 2.60, 4 Ru 2.73
Ru4 0.5000 0.5000 0.3414  2 Al 2.52, 2 W 2.60, 4 Ru 2.73
W1 0.0000 0.0000 0.6748  2 Ru 2.60, 2 Al 2.69, 4 W 2.73
W2 0.0000 0.5000 0.1748  2 Ru 2.60, 2 Al 2.69, 4 W 2.73
W3 0.5000 0.0000 0.1748  2 Ru 2.60, 2 Al 2.69, 4 W 2.73
W4 0.5000 0.5000 0.6748  2 Ru 2.60, 2 Al 2.69, 4 W 2.73

*two*
DFT (PBEsol) results for crystalline AlRuW at its relaxed geometry.

Total magnetic moment in μB per cell: 0.0
Space group: P3m1

Cell lengths 2.7951, 2.7951, 6.4739 Å; angles 90.00, 90.00, 120.00 degrees
Closest atoms and distances in Å follow each position.
Sites, in units of the cell vectors:
Al1 0.0000 0.0000 0.0000  3 Ru 2.65, 6 Al 2.80, 3 W 2.80
Ru1 0.3333 0.6667 0.6755  3 W 2.64, 3 Al 2.65, 6 Ru 2.80
W1 0.6667 0.3333 0.3537  3 Ru 2.64, 6 W 2.80, 3 Al 2.80

Stability check: which of them is most stable? *two*.

*one*
DFT (PBEsol) results for crystalline AlSeS2 at its relaxed geometry.

Total magnetic moment in μB per cell: 0.0
Space group: Fm-3m

Cell lengths 6.3598, 6.3598, 6.3598 Å; angles 90.00, 90.00, 90.00 degrees
Closest atoms and distances in Å follow each position.
Sites, in units of the cell vectors:
Al1 0.0000 0.0000 0.0000  8 S 2.75
Al2 0.0000 0.5000 0.5000  8 S 2.75
Al3 0.5000 0.0000 0.5000  8 S 2.75
Al4 0.5000 0.5000 0.0000  8 S 2.75
Se1 0.0000 0.0000 0.5000  8 S 2.75
Se2 0.0000 0.5000 0.0000  8 S 2.75
Se3 0.5000 0.0000 0.0000  8 S 2.75
Se4 0.5000 0.5000 0.5000  8 S 2.75
S1 0.2500 0.2500 0.2500  4 Se 2.75, 4 Al 2.75
S2 0.2500 0.2500 0.7500  4 Se 2.75, 4 Al 2.75
S3 0.2500 0.7500 0.2500  4 Se 2.75, 4 Al 2.75
S4 0.2500 0.7500 0.7500  4 Se 2.75, 4 Al 2.75
S5 0.7500 0.2500 0.2500  4 Se 2.75, 4 Al 2.75
S6 0.7500 0.2500 0.7500  4 Se 2.75, 4 Al 2.75
S7 0.7500 0.7500 0.2500  4 Se 2.75, 4 Al 2.75
S8 0.7500 0.7500 0.7500  4 Se 2.75, 4 Al 2.75

*two*
DFT (PBEsol) results for crystalline AlSeS2 at its relaxed geometry.

Total magnetic moment in μB per cell: 0.0
Space group: R-3m

Cell lengths 3.4620, 3.4620, 22.4630 Å; angles 90.00, 90.00, 120.00 degrees
Closest atoms and distances in Å follow each position.
Sites, in units of the cell vectors:
Al1 0.0000 0.0000 0.0000  6 S 2.39
Al2 0.3333 0.6667 0.6667  6 S 2.39
Al3 0.6667 0.3333 0.3333  6 S 2.39
Se1 0.0000 0.0000 0.5000  2 S 2.43
Se2 0.3333 0.6667 0.1667  2 S 2.43
Se3 0.6667 0.3333 0.8333  2 S 2.43
S1 0.0000 0.0000 0.3917  3 Al 2.39, 1 Se 2.43
S2 0.0000 0.0000 0.6083  3 Al 2.39, 1 Se 2.43
S3 0.3333 0.6667 0.0584  3 Al 2.39, 1 Se 2.43
S4 0.3333 0.6667 0.2750  3 Al 2.39, 1 Se 2.43
S5 0.6667 0.3333 0.7250  3 Al 2.39, 1 Se 2.43
S6 0.6667 0.3333 0.9416  3 Al 2.39, 1 Se 2.43

Stability check: which of them is most stable? *two*.

*one*
DFT (PBEsol) results for crystalline AlTeS2 at its relaxed geometry.

Total magnetic moment in μB per cell: 0.0
Space group: R-3m

Cell lengths 3.5177, 3.5177, 23.6320 Å; angles 90.00, 90.00, 120.00 degrees
Closest atoms and distances in Å follow each position.
Sites, in units of the cell vectors:
Al1 0.0000 0.0000 0.0000  6 S 2.41
Al2 0.3333 0.6667 0.6667  6 S 2.41
Al3 0.6667 0.3333 0.3333  6 S 2.41
Te1 0.0000 0.0000 0.5000  2 S 2.65
Te2 0.3333 0.6667 0.1667  2 S 2.65
Te3 0.6667 0.3333 0.8333  2 S 2.65
S1 0.0000 0.0000 0.3880  3 Al 2.41, 1 Te 2.65
S2 0.0000 0.0000 0.6120  3 Al 2.41, 1 Te 2.65
S3 0.3333 0.6667 0.0547  3 Al 2.41, 1 Te 2.65
S4 0.3333 0.6667 0.2786  3 Al 2.41, 1 Te 2.65
S5 0.6667 0.3333 0.7214  3 Al 2.41, 1 Te 2.65
S6 0.6667 0.3333 0.9453  3 Al 2.41, 1 Te 2.65

*two*
DFT (PBEsol) results for crystalline AlTeS2 at its relaxed geometry.

Total magnetic moment in μB per cell: 0.0
Space group: I-42d

Cell lengths 6.9912, 6.9912, 6.7076 Å; angles 90.00, 90.00, 90.00 degrees
Closest atoms and distances in Å follow each position.
Sites, in units of the cell vectors:
Al1 0.0000 0.0000 0.0000  4 S 2.31
Al2 0.0000 0.5000 0.2500  4 S 2.31
Al3 0.5000 0.0000 0.7500  4 S 2.31
Al4 0.5000 0.5000 0.5000  4 S 2.31
Te1 0.0000 0.0000 0.5000  8 S 2.96-3.31
Te2 0.0000 0.5000 0.7500  8 S 2.96-3.31
Te3 0.5000 0.0000 0.2500  8 S 2.96-3.31
Te4 0.5000 0.5000 0.0000  8 S 2.96-3.31
S1 0.1799 0.2500 0.1250  2 Al 2.31
S2 0.2500 0.6799 0.3750  2 Al 2.31
S3 0.2500 0.8201 0.8750  2 Al 2.31
S4 0.3201 0.2500 0.6250  2 Al 2.31
S5 0.6799 0.7500 0.6250  2 Al 2.31
S6 0.7500 0.1799 0.8750  2 Al 2.31
S7 0.7500 0.3201 0.3750  2 Al 2.31
S8 0.8201 0.7500 0.1250  2 Al 2.31

Stability check: which of them is most stable? *one*.

*one*
DFT (PBEsol) results for crystalline Al2SbSe at its relaxed geometry.

Total magnetic moment in μB per cell: 0.0
Space group: I4/mmm

Cell lengths 5.5929, 5.5929, 5.6125 Å; angles 90.00, 90.00, 90.00 degrees
Closest atoms and distances in Å follow each position.
Sites, in units of the cell vectors:
Al1 0.0000 0.5000 0.0000  2 Se 2.80, 2 Sb 2.80, 2 Al 2.81
Al2 0.0000 0.5000 0.5000  2 Se 2.80, 2 Sb 2.80, 2 Al 2.81
Al3 0.5000 0.0000 0.0000  2 Se 2.80, 2 Sb 2.80, 2 Al 2.81
Al4 0.5000 0.0000 0.5000  2 Se 2.80, 2 Sb 2.80, 2 Al 2.81
Sb1 0.0000 0.0000 0.0000  4 Al 2.80, 2 Se 2.81
Sb2 0.5000 0.5000 0.5000  4 Al 2.80, 2 Se 2.81
Se1 0.0000 0.0000 0.5000  4 Al 2.80, 2 Sb 2.81
Se2 0.5000 0.5000 0.0000  4 Al 2.80, 2 Sb 2.81

*two*
DFT (PBEsol) results for crystalline Al2SbSe at its relaxed geometry.

Total magnetic moment in μB per cell: 0.0
Space group: R-3m

Cell lengths 3.9202, 3.9202, 19.2591 Å; angles 90.00, 90.00, 120.00 degrees
Closest atoms and distances in Å follow each position.
Sites, in units of the cell vectors:
Al1 0.0000 0.0000 0.2489  3 Se 2.76, 3 Sb 2.79
Al2 0.0000 0.0000 0.7511  3 Se 2.76, 3 Sb 2.79
Al3 0.3333 0.6667 0.4178  3 Se 2.76, 3 Sb 2.79
Al4 0.3333 0.6667 0.9156  3 Se 2.76, 3 Sb 2.79
Al5 0.6667 0.3333 0.0844  3 Se 2.76, 3 Sb 2.79
Al6 0.6667 0.3333 0.5822  3 Se 2.76, 3 Sb 2.79
Sb1 0.0000 0.0000 0.0000  6 Al 2.79
Sb2 0.3333 0.6667 0.6667  6 Al 2.79
Sb3 0.6667 0.3333 0.3333  6 Al 2.79
Se1 0.0000 0.0000 0.5000  6 Al 2.76
Se2 0.3333 0.6667 0.1667  6 Al 2.76
Se3 0.6667 0.3333 0.8333  6 Al 2.76

Stability check: which of them is most stable? *two*.